1) Compound: La2Pr2Mg
Source: the Alexandria database
Functional: PBE
Structure: relaxed

The calculation puts the density of states at the Fermi level at 7.4 states/eV/f.u.

Structure (POSCAR):
```
La2Pr2Mg
1.0
3.734 0.000 -0.599
-0.096 3.733 -0.599
0.052 0.053 12.261
Mg La Pr
1 2 2
direct
0.000 0.000 0.000 Mg
0.805 0.805 0.610 La
0.195 0.195 0.390 La
0.412 0.412 0.825 Pr
0.588 0.588 0.175 Pr
```

2) Compound: La2Pr2Mg
Source: the Alexandria database
Functional: PBE
Structure: relaxed

The calculation puts the density of states at the Fermi level at 8.3 states/eV/f.u.

Structure (POSCAR):
```
La2Pr2Mg
1.0
4.563 0.000 0.000
0.000 4.563 0.000
-2.282 -2.282 9.107
La Pr Mg
2 2 1
direct
0.589 0.589 0.177 La
0.411 0.411 0.823 La
0.750 0.250 0.500 Pr
0.250 0.750 0.500 Pr
0.000 0.000 0.000 Mg
```

Most stable one: 1), least stable one: 2).